No. 1
Compound: PrPuCoO6
Source: the Alexandria database
Functional: PBE with a Hubbard U
Structure: relaxed

* space group: P-31c (163)
* volume: 13.8 Å³ per atom
* calculated total energy: -0.6104 Ry per atom
* ρ: 7.244 g cm⁻³

Lattice parameters (Å, degrees): 5.200 5.200 10.571 90.00 90.00 120.00
Fractional coordinates of all 18 atoms:
Pr1 0.000 0.000 0.000
Pr2 0.000 0.000 0.500
Pu1 0.667 0.333 0.250
Pu2 0.333 0.667 0.750
Co1 0.333 0.667 0.250
Co2 0.667 0.333 0.750
O1 0.630 0.648 0.144
O2 0.019 0.370 0.144
O3 0.370 0.019 0.644
O4 0.981 0.630 0.856
O5 0.352 0.370 0.356
O6 0.019 0.648 0.356
O7 0.648 0.019 0.856
O8 0.630 0.981 0.356
O9 0.981 0.352 0.644
O10 0.352 0.981 0.144
O11 0.648 0.630 0.644
O12 0.370 0.352 0.856

---

No. 2
Compound: Rb4Pr3CoO8
Source: the Alexandria database
Functional: PBE with a Hubbard U
Structure: relaxed

* space group: C2/m (12)
* volume: 18.6 Å³ per atom
* calculated total energy: -0.4406 Ry per atom
* ρ: 5.297 g cm⁻³

Lattice parameters (Å, degrees): 7.362 7.795 7.156 117.12 120.96 90.00
Fractional coordinates of all 16 atoms:
Rb1 0.500 0.000 0.000
Rb2 0.500 0.000 0.500
Rb3 0.000 0.000 0.000
Rb4 0.000 0.000 0.500
Pr1 0.500 0.500 0.000
Pr2 0.500 0.500 0.500
Pr3 0.000 0.500 0.500
Co1 0.000 0.500 0.000
O1 0.239 0.696 0.958
O2 0.182 0.649 0.365
O3 0.268 0.317 0.536
O4 0.719 0.696 0.958
O5 0.281 0.304 0.042
O6 0.732 0.683 0.464
O7 0.818 0.351 0.635
O8 0.761 0.304 0.042

---

No. 3
Compound: RbPr2CoO5
Source: the Alexandria database
Functional: PBE with a Hubbard U
Structure: relaxed

* space group: P4/mbm (127)
* volume: 15.1 Å³ per atom
* calculated total energy: -0.5000 Ry per atom
* ρ: 6.172 g cm⁻³

Lattice parameters (Å, degrees): 5.724 6.898 6.898 90.00 90.00 90.00
Fractional coordinates of all 18 atoms:
Rb1 0.000 0.500 0.500
Rb2 0.000 0.000 0.000
Pr1 0.500 0.678 0.178
Pr2 0.500 0.178 0.322
Pr3 0.500 0.822 0.678
Pr4 0.500 0.322 0.822
Co1 0.000 0.000 0.500
Co2 0.000 0.500 0.000
O1 0.500 0.500 0.500
O2 0.500 0.000 0.000
O3 0.239 0.128 0.628
O4 0.239 0.872 0.372
O5 0.239 0.372 0.128
O6 0.239 0.628 0.872
O7 0.761 0.128 0.628
O8 0.761 0.628 0.872
O9 0.761 0.872 0.372
O10 0.761 0.372 0.128

---

No. 4
Compound: Rb3Pr3CoO8
Source: the Alexandria database
Functional: PBE with a Hubbard U
Structure: relaxed

* space group: C2/m (12)
* volume: 19.5 Å³ per atom
* calculated total energy: -0.4569 Ry per atom
* ρ: 4.917 g cm⁻³

Lattice parameters (Å, degrees): 7.009 7.209 7.780 117.29 90.00 119.09
Fractional coordinates of all 15 atoms:
Rb1 0.000 0.000 0.000
Rb2 0.000 0.500 0.000
Rb3 0.500 0.500 0.000
Pr1 0.500 0.000 0.500
Pr2 0.500 0.500 0.500
Pr3 0.000 0.500 0.500
Co1 0.000 0.000 0.500
O1 0.279 0.559 0.318
O2 0.721 0.441 0.682
O3 0.742 0.484 0.289
O4 0.258 0.516 0.711
O5 0.822 0.042 0.353
O6 0.178 0.958 0.647
O7 0.220 0.042 0.353
O8 0.780 0.958 0.647

---

No. 5
Compound: PrCo3Rh4O12
Source: the Alexandria database
Functional: PBE with a Hubbard U
Structure: relaxed

* space group: Im-3 (204)
* volume: 10.9 Å³ per atom
* calculated total energy: -0.4831 Ry per atom
* ρ: 7.049 g cm⁻³

Lattice parameters (Å, degrees): 6.557 6.557 6.557 109.47 109.47 109.47
Fractional coordinates of all 20 atoms:
Pr1 0.000 0.000 0.000
Co1 0.000 0.500 0.500
Co2 0.500 0.500 0.000
Co3 0.500 0.000 0.500
Rh1 0.500 0.000 0.000
Rh2 0.500 0.500 0.500
Rh3 0.000 0.500 0.000
Rh4 0.000 0.000 0.500
O1 0.308 0.831 0.139
O2 0.692 0.169 0.861
O3 0.692 0.831 0.523
O4 0.861 0.692 0.169
O5 0.831 0.139 0.308
O6 0.169 0.477 0.308
O7 0.477 0.308 0.169
O8 0.169 0.861 0.692
O9 0.308 0.169 0.477
O10 0.139 0.308 0.831
O11 0.831 0.523 0.692
O12 0.523 0.692 0.831

---

No. 6
Compound: PrCoRhO6
Source: the Alexandria database
Functional: PBE with a Hubbard U
Structure: relaxed

* space group: P312 (149)
* volume: 12.7 Å³ per atom
* calculated total energy: -0.4860 Ry per atom
* ρ: 5.774 g cm⁻³

Lattice parameters (Å, degrees): 5.120 5.086 5.086 120.00 90.00 90.00
Fractional coordinates of all 9 atoms:
Pr1 0.000 0.333 0.667
Co1 0.500 0.000 0.000
Rh1 0.500 0.667 0.333
O1 0.708 0.712 0.678
O2 0.708 0.322 0.034
O3 0.708 0.966 0.288
O4 0.292 0.322 0.288
O5 0.292 0.712 0.034
O6 0.292 0.966 0.678

---

No. 7
Compound: Pr2CoRuO8
Source: the Alexandria database
Functional: PBE with a Hubbard U
Structure: relaxed

* space group: P-1 (2)
* volume: 12.9 Å³ per atom
* calculated total energy: -0.5202 Ry per atom
* ρ: 6.101 g cm⁻³

Lattice parameters (Å, degrees): 5.295 4.268 6.973 93.41 82.88 96.81
Fractional coordinates of all 12 atoms:
Pr1 0.517 0.306 0.739
Pr2 0.483 0.694 0.261
Co1 0.000 0.000 0.500
Ru1 0.000 0.000 0.000
O1 0.032 0.798 0.250
O2 0.738 0.688 0.949
O3 0.749 0.218 0.145
O4 0.968 0.202 0.750
O5 0.262 0.312 0.051
O6 0.251 0.782 0.855
O7 0.680 0.792 0.555
O8 0.320 0.208 0.445

---

No. 8
Compound: PrCoS2O8
Source: the Alexandria database
Functional: PBE with a Hubbard U
Structure: relaxed

* space group: P-3m1 (164)
* volume: 13.7 Å³ per atom
* calculated total energy: -0.4784 Ry per atom
* ρ: 3.965 g cm⁻³

Lattice parameters (Å, degrees): 5.202 5.202 7.005 90.00 90.00 120.00
Fractional coordinates of all 12 atoms:
Pr1 0.000 0.000 0.500
Co1 0.000 0.000 0.000
S1 0.333 0.667 0.714
S2 0.667 0.333 0.286
O1 0.176 0.352 0.779
O2 0.176 0.824 0.779
O3 0.648 0.824 0.779
O4 0.352 0.176 0.221
O5 0.667 0.333 0.501
O6 0.333 0.667 0.499
O7 0.824 0.648 0.221
O8 0.824 0.176 0.221

---

No. 9
Compound: Pr3ScCo2O9
Source: the Alexandria database
Functional: PBE with a Hubbard U
Structure: relaxed

* space group: P-3m1 (164)
* volume: 11.7 Å³ per atom
* calculated total energy: -0.5545 Ry per atom
* ρ: 6.920 g cm⁻³

Lattice parameters (Å, degrees): 5.457 5.457 6.790 90.00 90.00 120.00
Fractional coordinates of all 15 atoms:
Pr1 0.333 0.667 0.696
Pr2 0.000 0.000 0.000
Pr3 0.667 0.333 0.304
Sc1 0.000 0.000 0.500
Co1 0.333 0.667 0.166
Co2 0.667 0.333 0.834
O1 0.829 0.171 0.680
O2 0.829 0.657 0.680
O3 0.343 0.171 0.680
O4 0.657 0.829 0.320
O5 0.171 0.343 0.320
O6 0.171 0.829 0.320
O7 0.500 0.000 0.000
O8 0.000 0.500 0.000
O9 0.500 0.500 0.000

---

No. 10
Compound: Pr2ScCoO6
Source: the Alexandria database
Functional: PBE with a Hubbard U
Structure: relaxed

* space group: P2_1/c (14)
* volume: 12.2 Å³ per atom
* calculated total energy: -0.5789 Ry per atom
* ρ: 6.565 g cm⁻³

Lattice parameters (Å, degrees): 5.526 5.615 7.854 90.00 89.54 90.00
Fractional coordinates of all 20 atoms:
Pr1 0.012 0.955 0.251
Pr2 0.512 0.545 0.751
Pr3 0.988 0.045 0.749
Pr4 0.488 0.455 0.249
Sc1 0.500 0.000 0.500
Sc2 0.000 0.500 0.000
Co1 0.500 0.000 0.000
Co2 0.000 0.500 0.500
O1 0.298 0.720 0.045
O2 0.798 0.780 0.545
O3 0.702 0.280 0.955
O4 0.202 0.220 0.455
O5 0.279 0.704 0.456
O6 0.779 0.796 0.956
O7 0.721 0.296 0.544
O8 0.221 0.204 0.044
O9 0.918 0.520 0.259
O10 0.418 0.980 0.759
O11 0.082 0.480 0.741
O12 0.582 0.020 0.241

---

No. 11
Compound: SrPr2CoO5
Source: the Alexandria database
Functional: PBE with a Hubbard U
Structure: relaxed

* space group: P4/mbm (127)
* volume: 14.5 Å³ per atom
* calculated total energy: -0.5240 Ry per atom
* ρ: 6.476 g cm⁻³

Lattice parameters (Å, degrees): 5.680 6.775 6.775 90.00 90.00 90.00
Fractional coordinates of all 18 atoms:
Sr1 0.000 0.500 0.500
Sr2 0.000 0.000 0.000
Pr1 0.500 0.673 0.173
Pr2 0.500 0.173 0.327
Pr3 0.500 0.827 0.673
Pr4 0.500 0.327 0.827
Co1 0.000 0.000 0.500
Co2 0.000 0.500 0.000
O1 0.500 0.500 0.500
O2 0.500 0.000 0.000
O3 0.235 0.137 0.637
O4 0.235 0.863 0.363
O5 0.235 0.363 0.137
O6 0.235 0.637 0.863
O7 0.765 0.137 0.637
O8 0.765 0.637 0.863
O9 0.765 0.863 0.363
O10 0.765 0.363 0.137

---

No. 12
Compound: SrPrCo2O6
Source: the Alexandria database
Functional: PBE with a Hubbard U
Structure: relaxed

* space group: Pc (7)
* volume: 11.5 Å³ per atom
* calculated total energy: -0.4812 Ry per atom
* ρ: 6.379 g cm⁻³

Lattice parameters (Å, degrees): 5.493 5.538 9.320 54.33 90.00 90.00
Fractional coordinates of all 20 atoms:
Sr1 0.236 0.249 0.251
Sr2 0.764 0.249 0.751
Pr1 0.276 0.759 0.749
Pr2 0.724 0.759 0.249
Co1 0.248 0.000 0.000
Co2 0.752 0.000 0.500
Co3 0.246 0.499 0.500
Co4 0.754 0.499 0.000
O1 0.980 0.182 0.034
O2 0.020 0.182 0.534
O3 0.507 0.803 0.969
O4 0.493 0.803 0.469
O5 0.258 0.698 0.254
O6 0.742 0.698 0.754
O7 0.247 0.319 0.746
O8 0.753 0.319 0.246
O9 0.969 0.769 0.465
O10 0.031 0.769 0.965
O11 0.519 0.222 0.531
O12 0.481 0.222 0.031

---

No. 13
Compound: Sr2PrCoO6
Source: the Alexandria database
Functional: PBE with a Hubbard U
Structure: relaxed

* space group: Fm-3m (225)
* volume: 14.2 Å³ per atom
* calculated total energy: -0.4662 Ry per atom
* ρ: 5.513 g cm⁻³

Lattice parameters (Å, degrees): 5.854 5.854 5.854 60.00 60.00 60.00
Fractional coordinates of all 10 atoms:
Sr1 0.250 0.250 0.250
Sr2 0.750 0.750 0.750
Pr1 0.500 0.500 0.500
Co1 0.000 0.000 0.000
O1 0.224 0.776 0.224
O2 0.776 0.224 0.776
O3 0.776 0.776 0.224
O4 0.224 0.224 0.776
O5 0.224 0.776 0.776
O6 0.776 0.224 0.224

---

No. 14
Compound: PrTa2CoO8
Source: the Alexandria database
Functional: PBE with a Hubbard U
Structure: relaxed

* space group: C2/m (12)
* volume: 13.1 Å³ per atom
* calculated total energy: -0.6301 Ry per atom
* ρ: 7.297 g cm⁻³

Lattice parameters (Å, degrees): 4.969 4.966 6.389 89.33 89.33 84.55
Fractional coordinates of all 12 atoms:
Pr1 0.000 0.000 0.500
Ta1 0.481 0.481 0.765
Ta2 0.519 0.519 0.235
Co1 0.000 0.000 0.000
O1 0.201 0.789 0.208
O2 0.681 0.681 0.998
O3 0.789 0.202 0.208
O4 0.799 0.211 0.792
O5 0.319 0.319 0.002
O6 0.211 0.798 0.792
O7 0.670 0.670 0.490
O8 0.330 0.330 0.510

---

No. 15
Compound: PrTaCo2O6
Source: the Alexandria database
Functional: PBE with a Hubbard U
Structure: relaxed

* space group: P1 (1)
* volume: 12.5 Å³ per atom
* calculated total energy: -0.5800 Ry per atom
* ρ: 7.136 g cm⁻³

Lattice parameters (Å, degrees): 5.434 5.423 5.788 62.04 62.26 60.29
Fractional coordinates of all 10 atoms:
Pr1 0.801 0.798 0.603
Ta1 0.316 0.317 0.052
Co1 0.521 0.524 0.432
Co2 0.018 0.015 0.953
O1 0.586 0.248 0.231
O2 0.244 0.936 0.232
O3 0.937 0.585 0.231
O4 0.365 0.713 0.759
O5 0.710 0.161 0.763
O6 0.163 0.364 0.760

---

No. 16
Compound: PrCo2TeO6
Source: the Alexandria database
Functional: PBE with a Hubbard U
Structure: relaxed

* space group: P1 (1)
* volume: 11.8 Å³ per atom
* calculated total energy: -0.4660 Ry per atom
* ρ: 6.800 g cm⁻³

Lattice parameters (Å, degrees): 5.609 5.608 5.408 58.70 58.74 59.86
Fractional coordinates of all 10 atoms:
Pr1 0.763 0.765 0.708
Co1 0.520 0.519 0.441
Co2 0.016 0.017 0.950
Te1 0.303 0.304 0.089
O1 0.663 0.283 0.201
O2 0.286 0.853 0.198
O3 0.853 0.661 0.199
O4 0.355 0.707 0.742
O5 0.706 0.196 0.743
O6 0.197 0.356 0.742

---

No. 17
Compound: PrCoTeO6
Source: the Alexandria database
Functional: PBE with a Hubbard U
Structure: relaxed

* space group: P312 (149)
* volume: 13.1 Å³ per atom
* calculated total energy: -0.4777 Ry per atom
* ρ: 5.980 g cm⁻³

Lattice parameters (Å, degrees): 5.103 5.103 5.214 90.00 90.00 60.00
Fractional coordinates of all 9 atoms:
Pr1 0.000 0.000 0.000
Co1 0.667 0.667 0.500
Te1 0.333 0.333 0.500
O1 0.997 0.373 0.291
O2 0.373 0.997 0.709
O3 0.630 0.373 0.709
O4 0.997 0.630 0.709
O5 0.373 0.630 0.291
O6 0.630 0.997 0.291

---

No. 18
Compound: PrUCo2O8
Source: the Alexandria database
Functional: PBE with a Hubbard U
Structure: relaxed

* space group: I-4m2 (119)
* volume: 13.7 Å³ per atom
* calculated total energy: -0.5503 Ry per atom
* ρ: 6.315 g cm⁻³

Lattice parameters (Å, degrees): 5.981 5.981 5.981 107.91 107.91 112.64
Fractional coordinates of all 12 atoms:
Pr1 0.250 0.750 0.500
U1 0.000 0.000 0.000
Co1 0.750 0.250 0.500
Co2 0.500 0.500 0.000
O1 0.361 0.061 0.300
O2 0.305 0.472 0.166
O3 0.305 0.139 0.834
O4 0.761 0.061 0.700
O5 0.861 0.695 0.166
O6 0.939 0.239 0.300
O7 0.939 0.639 0.700
O8 0.528 0.695 0.834